[1]
A plane-wave DFT calculation with PBE was carried out for a relaxed Sm6Dy3Mg crystal.

Computed properties:
Calculated density (g/cm³): 7.3
E_form (meV per atom): 120
Crystal system: orthorhombic
Spin magnetization (μB per formula unit): 0.00
ΔE to the lowest computed polymorph (eV/atom): 0.104

Cell: 9.186 8.790 8.790 Å, 114.37 90.00 90.00°
Fractional positions:
Sm 0.102 0.858 0.709
Sm 0.602 0.709 0.858
Sm 0.266 0.520 0.831
Sm 0.766 0.831 0.520
Sm 0.284 0.938 0.062
Sm 0.652 0.298 0.702
Sm 0.152 0.702 0.298
Sm 0.784 0.062 0.938
Sm 0.266 0.169 0.480
Sm 0.766 0.480 0.169
Sm 0.102 0.291 0.142
Sm 0.602 0.142 0.291
Dy 0.443 0.967 0.680
Dy 0.943 0.680 0.967
Dy 0.429 0.534 0.466
Dy 0.929 0.466 0.534
Dy 0.943 0.033 0.320
Dy 0.443 0.320 0.033
Mg 0.999 0.243 0.757
Mg 0.499 0.757 0.243

---

[2]
A plane-wave DFT calculation with PBE was carried out for a relaxed YSn2Pb crystal.

Computed properties:
Calculated density (g/cm³): 5.1
E_form (meV per atom): 286
Crystal system: trigonal
Spin magnetization (μB per formula unit): 0.00

Cell: 4.992 4.992 8.490 Å, 72.90 72.90 60.00°
Fractional positions:
Pb 0.000 0.000 0.000
Y 0.500 0.500 0.500
Sn 0.120 0.120 0.639
Sn 0.880 0.880 0.361

---

[3]
A plane-wave DFT calculation with PBE was carried out for a relaxed LiCuPO4 crystal.

Computed properties:
Calculated density (g/cm³): 3.2
Uncorrected formation energy (eV per atom): -1.775
Crystal system: orthorhombic
Spin magnetization (μB per formula unit): 0.97
ΔE to the lowest computed polymorph (eV/atom): 0.031

Cell: 5.320 6.122 10.564 Å, 90.00 90.00 90.00°
Each line ends with the local moment (μB).
Fractional positions:
Li 0.290 0.522 0.821  0.00
Li 0.710 0.022 0.179  0.00
Li 0.210 0.522 0.321  0.00
Li 0.790 0.022 0.679  0.00
Cu 0.174 0.749 0.576  0.59
Cu 0.826 0.249 0.424  0.59
Cu 0.326 0.749 0.076  0.59
Cu 0.674 0.249 0.924  0.59
P 0.795 0.747 0.935  0.00
P 0.295 0.247 0.565  0.00
P 0.705 0.747 0.435  0.00
P 0.205 0.247 0.065  0.00
O 0.782 0.954 0.358  0.08
O 0.583 0.217 0.567  0.07
O 0.663 0.550 0.869  0.09
O 0.218 0.454 0.642  0.08
O 0.798 0.761 0.574  0.08
O 0.837 0.550 0.369  0.09
O 0.282 0.454 0.142  0.08
O 0.298 0.261 0.926  0.08
O 0.917 0.217 0.067  0.07
O 0.083 0.717 0.933  0.07
O 0.202 0.261 0.426  0.08
O 0.337 0.050 0.131  0.09
O 0.163 0.050 0.631  0.09
O 0.718 0.954 0.858  0.08
O 0.417 0.717 0.433  0.07
O 0.702 0.761 0.074  0.08

---

[4]
A plane-wave DFT calculation with PBE was carried out for a relaxed ZnCdRe2 crystal.

Computed properties:
Calculated density (g/cm³): 13.8
E_form (meV per atom): 716
Crystal system: tetragonal
Spin magnetization (μB per formula unit): 0.00
ΔE to the lowest computed polymorph (eV/atom): 0.553

Cell: 3.268 3.268 6.192 Å, 90.00 90.00 90.00°
Fractional positions:
Cd 0.500 0.500 0.750
Re 0.000 0.000 0.056
Re 0.000 0.000 0.444
Zn 0.500 0.500 0.250

---

[5]
A plane-wave DFT calculation with PBE was carried out for a relaxed Ac4HgIr2Rh crystal.

Computed properties:
Calculated density (g/cm³): 10.4
E_form (meV per atom): -487
Crystal system: orthorhombic
Spin magnetization (μB per formula unit): 0.00

Cell: 4.381 7.130 17.176 Å, 90.00 90.00 107.89°
Fractional positions:
Ac 0.275 0.550 0.092
Ac 0.725 0.450 0.592
Ac 0.725 0.450 0.908
Ac 0.275 0.550 0.408
Ac 0.000 0.000 0.500
Ac 0.000 0.000 0.000
Ac 0.413 0.827 0.750
Ac 0.587 0.173 0.250
Hg 0.126 0.252 0.750
Hg 0.874 0.748 0.250
Ir 0.372 0.744 0.563
Ir 0.628 0.256 0.063
Ir 0.628 0.256 0.437
Ir 0.372 0.744 0.937
Rh 0.763 0.526 0.750
Rh 0.237 0.474 0.250

---

[6]
A plane-wave DFT calculation with PBE was carried out for a relaxed SrGe3Pd3 crystal.

Computed properties:
Calculated density (g/cm³): 7.1
E_form (meV per atom): -441
Crystal system: trigonal
Spin magnetization (μB per formula unit): 0.00
ΔE to the lowest computed polymorph (eV/atom): 0.000

Cell: 6.748 6.748 8.333 Å, 66.11 66.11 60.00°
Fractional positions:
Sr 0.334 0.334 0.998
Sr 0.666 0.666 0.002
Ge 0.168 0.683 0.268
Ge 0.881 0.168 0.268
Ge 0.683 0.881 0.268
Ge 0.317 0.119 0.732
Ge 0.119 0.832 0.732
Ge 0.832 0.317 0.732
Pd 0.559 0.752 0.616
Pd 0.752 0.073 0.616
Pd 0.073 0.559 0.616
Pd 0.927 0.441 0.384
Pd 0.248 0.927 0.384
Pd 0.441 0.248 0.384

---

[7]
A plane-wave DFT calculation with PBE was carried out for a relaxed Sm2ThAl6 crystal.

Computed properties:
Calculated density (g/cm³): 5.7
E_form (meV per atom): -469
Crystal system: hexagonal
Spin magnetization (μB per formula unit): 0.00
ΔE to the lowest computed polymorph (eV/atom): 0.000

Cell: 3.778 7.879 7.880 Å, 120.00 90.00 90.00°
Fractional positions:
Sm 0.000 0.333 0.667
Sm 0.000 0.667 0.333
Th 0.000 0.000 0.000
Al 0.500 0.334 0.334
Al 0.500 0.666 0.666
Al 0.500 0.000 0.666
Al 0.500 0.666 0.000
Al 0.500 0.334 0.000
Al 0.500 0.000 0.334

---

[8]
A plane-wave DFT calculation with PBE was carried out for a relaxed Nd5Ni2Ru crystal.

Computed properties:
Calculated density (g/cm³): 7.8
E_form (meV per atom): -204
Crystal system: tetragonal
Spin magnetization (μB per formula unit): 0.00

Cell: 7.278 7.278 9.111 Å, 113.54 113.54 90.00°
Fractional positions:
Nd 0.530 0.678 0.708
Nd 0.822 0.970 0.292
Nd 0.000 0.000 0.000
Nd 0.500 0.500 0.000
Nd 0.178 0.030 0.708
Nd 0.678 0.178 0.708
Nd 0.030 0.530 0.708
Nd 0.322 0.822 0.292
Nd 0.970 0.470 0.292
Nd 0.470 0.322 0.292
Ni 0.117 0.383 0.000
Ni 0.617 0.117 0.000
Ni 0.383 0.883 0.000
Ni 0.883 0.617 0.000
Ru 0.750 0.750 0.500
Ru 0.250 0.250 0.500

---

[9]
A plane-wave DFT calculation with PBE was carried out for a relaxed AlRuS crystal.

Computed properties:
Calculated density (g/cm³): 4.6
Uncorrected formation energy (eV per atom): -0.457
Crystal system: triclinic
Spin magnetization (μB per formula unit): 0.00
ΔE to the lowest computed polymorph (eV/atom): 0.048

Cell: 2.960 4.835 8.746 Å, 98.26 99.40 107.79°
Fractional positions:
Ru 0.016 0.386 0.650
Ru 0.984 0.614 0.350
S 0.509 0.813 0.196
S 0.491 0.187 0.804
Al 0.707 0.823 0.594
Al 0.293 0.177 0.406

---

[10]
A plane-wave DFT calculation with PBE was carried out for a relaxed ScFe2Ir2 crystal.

Computed properties:
Calculated density (g/cm³): 12.0
E_form (meV per atom): -158
Crystal system: tetragonal
Spin magnetization (μB per formula unit): 5.14
ΔE to the lowest computed polymorph (eV/atom): 0.062

Cell: 7.276 7.276 2.827 Å, 90.00 90.00 90.00°
Each line ends with the local moment (μB).
Fractional positions:
Sc 0.000 0.000 0.000  -0.27
Sc 0.500 0.500 0.000  -0.27
Ir 0.367 0.867 0.000  0.23
Ir 0.867 0.633 0.000  0.23
Ir 0.633 0.133 0.000  0.23
Ir 0.133 0.367 0.000  0.23
Fe 0.165 0.665 0.500  2.48
Fe 0.665 0.835 0.500  2.46
Fe 0.835 0.335 0.500  2.48
Fe 0.335 0.165 0.500  2.46

---

[11]
A plane-wave DFT calculation with PBE was carried out for a relaxed GaHgPtO4 crystal.

Computed properties:
Calculated density (g/cm³): 9.5
Uncorrected formation energy (eV per atom): -0.816
Crystal system: orthorhombic
Spin magnetization (μB per formula unit): 0.00

Cell: 6.742 6.352 6.262 Å, 119.53 90.00 122.05°
Fractional positions:
Ga 0.500 0.000 0.500
Ga 0.500 0.000 0.000
Hg 0.890 0.780 0.140
Hg 0.110 0.220 0.860
Pt 0.500 0.500 0.500
Pt 0.000 0.500 0.500
O 0.731 0.462 0.688
O 0.317 0.032 0.266
O 0.714 0.032 0.266
O 0.731 0.462 0.274
O 0.269 0.538 0.726
O 0.683 0.968 0.734
O 0.286 0.968 0.734
O 0.269 0.538 0.312

---

[12]
A plane-wave DFT calculation with PBE was carried out for a relaxed PmSmAg4 crystal.

Computed properties:
Calculated density (g/cm³): 8.1
E_form (meV per atom): 8
Crystal system: orthorhombic
Spin magnetization (μB per formula unit): 0.00
ΔE to the lowest computed polymorph (eV/atom): 0.266

Cell: 3.450 4.428 9.795 Å, 90.00 89.99 89.97°
Fractional positions:
Pm 0.501 0.497 0.998
Sm 0.001 0.997 0.498
Ag 0.501 0.997 0.227
Ag 0.501 0.997 0.769
Ag 0.001 0.497 0.724
Ag 0.001 0.497 0.272

---

[13]
A plane-wave DFT calculation with PBE was carried out for a relaxed PaSO6F crystal.

Computed properties:
Calculated density (g/cm³): 4.8
Uncorrected formation energy (eV per atom): -2.072
Crystal system: triclinic
Spin magnetization (μB per formula unit): 0.00

Cell: 6.122 5.925 4.391 Å, 60.43 90.18 72.86°
Fractional positions:
Pa 0.660 0.705 0.122
S 0.239 0.400 0.541
O 0.045 0.393 0.341
O 0.352 0.112 0.853
O 0.727 0.540 0.738
O 0.165 0.606 0.637
O 0.425 0.455 0.303
O 0.548 0.816 0.545
F 0.840 0.973 0.920

---

[14]
A plane-wave DFT calculation with PBE was carried out for a relaxed ThSF2 crystal.

Computed properties:
Calculated density (g/cm³): 7.6
Uncorrected formation energy (eV per atom): -3.315
Crystal system: monoclinic
Spin magnetization (μB per formula unit): 0.00

Cell: 4.130 5.261 6.050 Å, 90.05 90.00 90.00°
Fractional positions:
Th 0.750 0.250 0.270
Th 0.250 0.750 0.730
S 0.750 0.750 0.067
S 0.250 0.250 0.933
F 0.750 0.985 0.608
F 0.250 0.015 0.392
F 0.750 0.513 0.609
F 0.250 0.487 0.391

---

[15]
A plane-wave DFT calculation with PBE was carried out for a relaxed YZnW2 crystal.

Computed properties:
Calculated density (g/cm³): 11.8
E_form (meV per atom): 352
Crystal system: orthorhombic
Spin magnetization (μB per formula unit): 0.00

Cell: 2.879 2.879 9.408 Å, 90.00 90.00 109.78°
Fractional positions:
W 0.000 0.000 0.005
W 0.500 0.500 0.224
Y 0.000 0.000 0.498
Zn 0.500 0.500 0.773

---

[16]
A plane-wave DFT calculation with PBE was carried out for a relaxed Li2Al4Ag crystal.

Computed properties:
Calculated density (g/cm³): 3.2
E_form (meV per atom): 6
Crystal system: tetragonal
Spin magnetization (μB per formula unit): 0.00
ΔE to the lowest computed polymorph (eV/atom): 0.079

Cell: 5.463 5.463 5.463 Å, 103.33 103.33 122.62°
Fractional positions:
Li 0.250 0.750 0.500
Li 0.750 0.250 0.500
Al 0.197 0.197 0.394
Al 0.803 0.197 0.000
Al 0.197 0.803 0.000
Al 0.803 0.803 0.606
Ag 0.500 0.500 0.000

---

[17]
A plane-wave DFT calculation with PBE was carried out for a relaxed CeLuSe crystal.

Computed properties:
Calculated density (g/cm³): 7.8
Uncorrected formation energy (eV per atom): -0.961
Crystal system: trigonal
Spin magnetization (μB per formula unit): 1.73
ΔE to the lowest computed polymorph (eV/atom): 0.000

Cell: 3.806 3.806 6.714 Å, 90.00 90.00 120.00°
Each line ends with the local moment (μB).
Fractional positions:
Lu 0.333 0.667 0.608  0.20
Se 0.667 0.333 0.344  0.00
Ce 0.000 0.000 0.047  0.98

---

[18]
A plane-wave DFT calculation with PBE was carried out for a relaxed Pa5Pt2Rh2 crystal.

Computed properties:
Calculated density (g/cm³): 14.3
E_form (meV per atom): -614
Crystal system: orthorhombic
Spin magnetization (μB per formula unit): 0.00

Cell: 6.964 7.775 8.466 Å, 117.34 90.00 90.00°
Fractional positions:
Pa 0.000 0.000 0.000
Pa 0.500 0.500 0.000
Pa 0.833 0.827 0.275
Pa 0.167 0.448 0.275
Pa 0.333 0.948 0.275
Pa 0.667 0.327 0.275
Pa 0.167 0.173 0.725
Pa 0.833 0.552 0.725
Pa 0.667 0.052 0.725
Pa 0.333 0.673 0.725
Pt 0.000 0.217 0.434
Pt 0.500 0.717 0.434
Pt 0.000 0.783 0.566
Pt 0.500 0.283 0.566
Rh 0.656 0.891 0.000
Rh 0.344 0.109 0.000
Rh 0.156 0.609 0.000
Rh 0.844 0.391 0.000

---

[19]
A plane-wave DFT calculation with PBE was carried out for a relaxed SmCoSn6 crystal.

Computed properties:
Calculated density (g/cm³): 7.4
E_form (meV per atom): -138
Crystal system: monoclinic
Spin magnetization (μB per formula unit): 0.00

Cell: 6.291 7.322 5.989 Å, 52.31 78.87 71.59°
Fractional positions:
Sm 0.000 0.000 0.000
Co 0.500 0.500 0.000
Sn 0.784 0.611 0.594
Sn 0.784 0.205 0.406
Sn 0.216 0.795 0.594
Sn 0.216 0.389 0.406
Sn 0.628 0.791 0.000
Sn 0.372 0.209 0.000